HoTm2Si4Ni4 GGA-PBE relaxed; total energy = -66.42 eV per cell
1.0
-4.464 -5.937 -1.715
-1.486 -5.245 5.329
-0.449 7.208 -2.439
Si Tm Ni Ho
4 2 4 1
Cartesian
-4.650 -8.738 2.824
-1.300 -2.444 0.790
-2.503 1.379 0.146
-3.896 -5.352 1.029
-3.178 -3.173 2.788
-3.220 -0.800 -1.613
-0.879 3.210 -0.011
-2.985 -0.747 1.268
-3.414 -3.226 -0.094
-5.520 -7.183 1.185
0.000 0.000 0.000

---

ErTa2Ga2 GGA-PBE relaxed; total energy = -70.08 eV per cell
1.0
7.330 0.000 0.000
0.000 7.330 0.000
0.000 0.000 3.456
Ga Ta Er
4 4 2
Cartesian
0.900 4.565 0.000
6.430 2.765 0.000
2.765 0.900 0.000
4.565 6.430 0.000
6.061 4.933 1.728
1.268 2.397 1.728
4.933 1.268 1.728
2.397 6.061 1.728
0.000 0.000 0.000
3.665 3.665 0.000

---

PmAgB GGA-PBE relaxed; offset from the most stable computed form = 69.3 kJ/mol of atoms
1.0
0.000 3.272 3.272
3.272 0.000 3.272
3.272 3.272 0.000
Ag B Pm
1 1 1
Cartesian
1.636 1.636 1.636
4.909 4.909 4.909
0.000 0.000 0.000

---

DyY2Mg3Ir3 GGA-PBE relaxed; total energy = -54.83 eV per cell
1.0
4.064 0.000 0.000
0.000 6.283 3.635
0.000 -6.283 3.635
Ir Mg Y Dy
3 3 2 1
Cartesian
2.032 -2.081 3.639
0.000 0.000 7.260
2.032 2.081 3.639
2.032 -4.740 2.745
2.032 0.000 1.778
2.032 4.740 2.745
0.000 -2.571 1.488
0.000 2.571 1.488
0.000 0.000 4.299

---

| no. | magnetic moment (μB/f.u.) |
| --- | --- |
| 1 | 0.00 |
| 2 | 0.02 |
| 3 | 0.15 |
| 4 | 0.00 |